First-principles (GGA-PBE) data for LiThCuTe3 after structural relaxation, as listed in the Open Quantum Materials Database.

Summary:
- magnetic moment (μB/cell) = 0.00
- calculated total energy (Ry per atom) = -0.33996

The structure in extended XYZ format:
```
12
Lattice="2.134 -7.252 0.000 2.134 7.252 0.000 0.000 0.000 11.470" Properties=species:S:1:pos:R:3 pbc="T T T"
Te 2.134 -2.117 10.597
Te 2.134 -2.117 6.608
Te 2.134 2.117 4.862
Te 2.134 2.117 0.873
Te 2.134 5.988 2.867
Te 2.134 -5.988 8.602
Li 2.134 4.810 8.602
Li 2.134 -4.810 2.867
Cu 2.134 0.341 2.867
Cu 2.134 -0.341 8.602
Th 0.000 0.000 5.735
Th 0.000 0.000 0.000
```